The following is a DFT calculation (PBE) of crystalline NdGdCu2Sb4 at its relaxed geometry.

- spin magnetization (μB per formula unit) = 0.00
- calculated volume (A^3/atom) = 23.5
- crystal system = tetragonal
- electronic total energy (eV per atom) = -4.83

Unit cell a=4.3385 b=4.3385 c=9.9742 alpha=90.00 beta=90.00 gamma=90.00
Atoms (fractional coordinates):
Nd 0.0000 0.0000 0.0000
Gd 0.5000 0.5000 0.5018
Cu 0.0000 0.5000 0.7476
Cu 0.5000 0.0000 0.7476
Sb 0.0000 0.0000 0.5914
Sb 0.0000 0.5000 0.2551
Sb 0.5000 0.0000 0.2551
Sb 0.5000 0.5000 0.9042